## SrAcTl2 (PBEsol)

Data for a relaxed SrAcTl2 crystal.

Unit cell a=5.7104 b=5.7104 c=5.7104 alpha=60.00 beta=60.00 gamma=60.00
With the nearest neighbours (Å) after each atom.
Sites, in units of the cell vectors:
Sr 0.0000 0.0000 0.0000  8 Tl 3.50
Ac 0.5000 0.5000 0.5000  8 Tl 3.50
Tl 0.2500 0.2500 0.2500  4 Ac 3.50, 4 Sr 3.50
Tl 0.7500 0.7500 0.7500  4 Ac 3.50, 4 Sr 3.50

## Properties
ΔE_f in eV/atom: -0.4333
DOS at the Fermi energy in states/eV/f.u.: 3.36
Symmetry: Fm-3m

***

## Sr2TaTl (PBEsol)

Data for a relaxed Sr2TaTl crystal.

Unit cell a=11.4536 b=11.4536 c=11.4536 alpha=17.33 beta=17.33 gamma=17.33
With the nearest neighbours (Å) after each atom.
Sites, in units of the cell vectors:
Sr 0.0000 0.0000 0.0000  3 Ta 3.28, 6 Sr 3.45
Sr 0.2247 0.2247 0.2247  3 Tl 3.37, 6 Sr 3.45
Ta 0.7436 0.7436 0.7436  3 Tl 3.03, 3 Sr 3.28
Tl 0.4776 0.4776 0.4776  3 Ta 3.03, 3 Sr 3.37

## Properties
ΔE_f in eV/atom: 0.6167
DOS at the Fermi energy in states/eV/f.u.: 2.53
E above lowest polymorph in eV per formula unit: 0.39
Symmetry: R3m

***

## HgSb2Se (PBEsol)

Data for a relaxed HgSb2Se crystal.

Unit cell a=3.5522 b=3.5522 c=7.6458 alpha=90.00 beta=90.00 gamma=90.00
With the nearest neighbours (Å) after each atom.
Sites, in units of the cell vectors:
Hg 0.0000 0.0000 0.0000  4 Sb 3.16, 4 Se 3.23
Sb 0.0000 0.0000 0.5337  4 Se 2.94
Sb 0.5000 0.5000 0.2506  4 Hg 3.16, 4 Sb 3.32
Se 0.5000 0.5000 0.7343  4 Sb 2.94, 4 Hg 3.23

## Properties
DOS at the Fermi energy in states/eV/f.u.: 2.67
Energy relative to the elements, uncorrected in eV per atom: 0.13
E above lowest polymorph in eV per formula unit: 0.74
Symmetry: P4mm

***

Q: Which of these has the highest DOS at the Fermi energy?
A: SrAcTl2